Entry 1:
VASP calculation (GGA-PBE) on a geometry-optimized Li2SnHOs structure.

Output
- symmetry = P4/mmm (123)
- DFT total energy (eV per atom) = -4.514

Unit cell a=4.0095 b=4.0095 c=3.8385 alpha=90.00 beta=90.00 gamma=90.00
Element x y z (fractional)
1 Li 0.0000 0.5000 0.0000
2 Li 0.5000 0.0000 0.0000
3 Sn 0.0000 0.0000 0.5000
4 H 0.5000 0.5000 0.0000
5 Os 0.5000 0.5000 0.5000


Entry 2:
VASP calculation (GGA-PBE) on a geometry-optimized LaSe2O6 structure.

Output
- symmetry = C2/c (15)
- energy relative to the elements, uncorrected (eV per atom) = -1.52
- energy above the lowest structure with this stoichiometry (meV per atom) = 0

Unit cell a=7.0275 b=7.0275 c=7.4471 alpha=117.93 beta=117.93 gamma=70.31
Element x y z (fractional)
1 La 0.1586 0.8414 0.7500
2 La 0.8414 0.1586 0.2500
3 Se 0.3085 0.3104 0.2914
4 Se 0.3104 0.3085 0.7914
5 Se 0.6896 0.6915 0.2086
6 Se 0.6915 0.6896 0.7086
7 O 0.0819 0.1809 0.6435
8 O 0.1809 0.0819 0.1435
9 O 0.2128 0.4249 0.5045
10 O 0.2256 0.5760 0.9182
11 O 0.4240 0.7744 0.5818
12 O 0.4249 0.2128 0.0045
13 O 0.5751 0.7872 0.9955
14 O 0.5760 0.2256 0.4182
15 O 0.7744 0.4240 0.0818
16 O 0.7872 0.5751 0.4955
17 O 0.8191 0.9181 0.8565
18 O 0.9181 0.8191 0.3565


Entry 3:
VASP calculation (GGA-PBE) on a geometry-optimized NdNpCl structure.

Output
- symmetry = C2/m (12)
- energy relative to the elements, uncorrected (eV per atom) = -0.45

Unit cell a=15.8212 b=3.3954 c=5.9872 alpha=90.00 beta=97.50 gamma=90.00
Element x y z (fractional)
1 Nd 0.1078 0.0000 0.4000
2 Nd 0.3922 0.5000 0.6000
3 Nd 0.6078 0.5000 0.4000
4 Nd 0.8922 0.0000 0.6000
5 Np 0.0630 0.5000 0.9114
6 Np 0.4370 0.0000 0.0886
7 Np 0.5630 0.0000 0.9114
8 Np 0.9370 0.5000 0.0886
9 Cl 0.2165 0.5000 0.7361
10 Cl 0.2835 0.0000 0.2639
11 Cl 0.7165 0.0000 0.7361
12 Cl 0.7835 0.5000 0.2639


Entry 4:
VASP calculation (GGA-PBE) on a geometry-optimized TmZrIn2 structure.

Output
- symmetry = P4/mmm (123)
- ΔE_f (eV/atom) = -0.2865

Unit cell a=3.7898 b=3.7898 c=6.6667 alpha=90.00 beta=90.00 gamma=90.00
Element x y z (fractional)
1 Tm 0.0000 0.0000 0.0000
2 Zr 0.0000 0.0000 0.5000
3 In 0.5000 0.5000 0.2622
4 In 0.5000 0.5000 0.7378


Entry 5:
VASP calculation (GGA-PBE) on a geometry-optimized KZnP2 structure.

Output
- symmetry = Cmmm (65)
- ΔE_f (eV/atom) = 0.3923

Unit cell a=6.2535 b=9.3532 c=2.6488 alpha=90.00 beta=90.00 gamma=90.00
Element x y z (fractional)
1 K 0.0000 0.0000 0.0000
2 K 0.5000 0.5000 0.0000
3 Zn 0.0000 0.5000 0.0000
4 Zn 0.5000 0.0000 0.0000
5 P 0.2500 0.2500 0.5000
6 P 0.2500 0.7500 0.5000
7 P 0.7500 0.2500 0.5000
8 P 0.7500 0.7500 0.5000


Entry 6:
VASP calculation (GGA-PBE) on a geometry-optimized LaYScTe3 structure.

Output
- symmetry = P2_1/m (11)
- energy relative to the elements, uncorrected (eV per atom) = -1.28

Unit cell a=8.9311 b=4.3543 c=9.9444 alpha=90.00 beta=105.62 gamma=90.00
Element x y z (fractional)
1 La 0.1831 0.2500 0.2332
2 La 0.8169 0.7500 0.7668
3 Y 0.3306 0.7500 0.8418
4 Y 0.6694 0.2500 0.1582
5 Sc 0.0917 0.2500 0.5948
6 Sc 0.9083 0.7500 0.4052
7 Te 0.0973 0.2500 0.8847
8 Te 0.2560 0.7500 0.5008
9 Te 0.4297 0.7500 0.1688
10 Te 0.5703 0.2500 0.8312
11 Te 0.7440 0.2500 0.4992
12 Te 0.9027 0.7500 0.1153